(1)
{"formula": "Zr2Au3", "functional": "PBE", "state": "relaxed", "lattice_angstrom": [[4.5579, 0.0000, 0.0000], [-2.2789, 3.9472, 0.0000], [0.0000, 0.0000, 6.1968]], "species": ["Zr", "Zr", "Au", "Au", "Au"], "frac_coords": [[0.3333, 0.6667, 0.3209], [0.6667, 0.3333, 0.6791], [0.0000, 0.0000, 0.5000], [0.3333, 0.6667, 0.8616], [0.6667, 0.3333, 0.1384]], "de_polymorph_mev_per_atom": 232.3, "dos_ef_per_ev_cell": 3.9, "rho_g_cm3": 11.519, "total_energy_ev_per_cell": -28.4, "formation_energy_ev_per_atom": -0.30}

***

(2)
{"formula": "LuCdCuPd", "functional": "PBE", "state": "relaxed", "lattice_angstrom": [[6.6550, 0.0000, 0.0000], [0.0000, 6.6550, 0.0000], [0.0000, 0.0000, 6.6550]], "species": ["Lu", "Lu", "Lu", "Lu", "Cd", "Cd", "Cd", "Cd", "Cu", "Cu", "Cu", "Cu", "Pd", "Pd", "Pd", "Pd"], "frac_coords": [[0.0000, 0.0000, 0.0000], [0.0000, 0.5000, 0.5000], [0.5000, 0.0000, 0.5000], [0.5000, 0.5000, 0.0000], [0.0000, 0.0000, 0.5000], [0.0000, 0.5000, 0.0000], [0.5000, 0.0000, 0.0000], [0.5000, 0.5000, 0.5000], [0.2500, 0.2500, 0.7500], [0.2500, 0.7500, 0.2500], [0.7500, 0.2500, 0.2500], [0.7500, 0.7500, 0.7500], [0.2500, 0.2500, 0.2500], [0.2500, 0.7500, 0.7500], [0.7500, 0.2500, 0.7500], [0.7500, 0.7500, 0.2500]], "dos_ef_per_ev_cell": 9.3, "rho_g_cm3": 10.306, "total_energy_ev_per_cell": -66.4, "formation_energy_ev_per_atom": -0.47}

***

(3)
{"formula": "CdTe2F", "functional": "PBE", "state": "relaxed", "lattice_angstrom": [[6.4003, 0.0000, 0.0000], [3.1555, 6.1298, 0.0000], [3.1275, 2.0214, 6.0746]], "species": ["Cd", "Cd", "Te", "Te", "Te", "Te", "F", "F"], "frac_coords": [[0.0000, 0.0000, 0.0000], [0.3798, 0.3356, 0.2135], [0.1714, 0.7797, 0.4118], [0.7306, 0.6825, 0.6299], [0.8107, 0.4558, 0.0492], [0.9651, 0.2081, 0.5234], [0.2335, 0.6587, 0.9472], [0.6058, 0.9967, 0.1424]], "de_polymorph_mev_per_atom": 37.6, "e_form_raw_ev_per_atom": -0.817, "rho_g_cm3": 5.388, "total_energy_ev_per_cell": -24.7}

***

(4)
{"formula": "Ir3RhS", "functional": "PBE", "state": "relaxed", "lattice_angstrom": [[4.7161, 0.0000, 0.0000], [0.0000, 4.7161, 0.0000], [0.0000, 0.0000, 4.7161]], "species": ["Ir", "Ir", "Ir", "Rh", "S"], "frac_coords": [[0.0000, 0.0000, 0.5000], [0.0000, 0.5000, 0.0000], [0.5000, 0.0000, 0.0000], [0.0000, 0.0000, 0.0000], [0.5000, 0.5000, 0.5000]], "de_polymorph_mev_per_atom": 1300.2, "e_form_raw_ev_per_atom": 2.264, "dos_ef_per_ev_cell": 11.6, "rho_g_cm3": 11.265, "total_energy_ev_per_cell": -26.7}

***

(5)
{"formula": "NaLiCd2Pd", "functional": "PBE", "state": "relaxed", "lattice_angstrom": [[5.2549, 0.0000, 0.0000], [0.0000, 5.2549, 0.0000], [0.0000, 0.0000, 4.7372]], "species": ["Na", "Li", "Cd", "Cd", "Pd"], "frac_coords": [[0.0000, 0.0000, 0.0000], [0.5000, 0.5000, 0.0000], [0.0000, 0.5000, 0.5000], [0.5000, 0.0000, 0.5000], [0.5000, 0.5000, 0.5000]], "dos_ef_per_ev_cell": 2.4, "rho_g_cm3": 4.585, "total_energy_ev_per_cell": -10.9, "formation_energy_ev_per_atom": -0.13}

***

(6)
{"formula": "SrEr2O4", "functional": "PBE", "state": "relaxed", "lattice_angstrom": [[3.3872, 0.0000, 0.0000], [0.0000, 5.7498, 0.0000], [0.0000, 0.0000, 11.3363]], "species": ["Sr", "Sr", "Er", "Er", "Er", "Er", "O", "O", "O", "O", "O", "O", "O", "O"], "frac_coords": [[0.0000, 0.0000, 0.0000], [0.0000, 0.5000, 0.5000], [0.0000, 0.0000, 0.3187], [0.0000, 0.5000, 0.8187], [0.5000, 0.0000, 0.7187], [0.5000, 0.5000, 0.2187], [0.0000, 0.2447, 0.6714], [0.0000, 0.2553, 0.1714], [0.0000, 0.7447, 0.1714], [0.0000, 0.7553, 0.6714], [0.5000, 0.2504, 0.3779], [0.5000, 0.2496, 0.8779], [0.5000, 0.7496, 0.3779], [0.5000, 0.7504, 0.8779]], "de_polymorph_mev_per_atom": 88.5, "e_form_raw_ev_per_atom": -3.295, "dos_ef_per_ev_cell": 0.0, "rho_g_cm3": 7.313, "total_energy_ev_per_cell": -107.4}

***

(7)
{"formula": "K2HfSbS5", "functional": "PBE", "state": "relaxed", "lattice_angstrom": [[2.0334, -9.0165, 0.0000], [2.0334, 9.0165, 0.0000], [0.0000, 0.0000, 13.9036]], "species": ["K", "K", "K", "K", "Hf", "Hf", "Sb", "Sb", "S", "S", "S", "S", "S", "S", "S", "S", "S", "S"], "frac_coords": [[0.1112, 0.8888, 0.5000], [0.1393, 0.8607, 0.1498], [0.8607, 0.1393, 0.6498], [0.8888, 0.1112, 0.0000], [0.2173, 0.7827, 0.8692], [0.7827, 0.2173, 0.3692], [0.4464, 0.5536, 0.2699], [0.5536, 0.4464, 0.7699], [0.0580, 0.9420, 0.8779], [0.2901, 0.7099, 0.4801], [0.3118, 0.6882, 0.2387], [0.3431, 0.6569, 0.8315], [0.4996, 0.5004, 0.1150], [0.5004, 0.4996, 0.6150], [0.6569, 0.3431, 0.3315], [0.6882, 0.3118, 0.7387], [0.7099, 0.2901, 0.9801], [0.9420, 0.0580, 0.3779]], "e_form_raw_ev_per_atom": -0.975, "dos_ef_per_ev_cell": 4.2, "rho_g_cm3": 3.510, "total_energy_ev_per_cell": -91.4}

***

(8)
{"formula": "NiOsRh3", "functional": "PBE", "state": "relaxed", "lattice_angstrom": [[8.9884, 0.0000, 0.0000], [0.0000, 2.6628, 0.0000], [0.0000, 0.0000, 6.3571]], "species": ["Ni", "Ni", "Os", "Os", "Rh", "Rh", "Rh", "Rh", "Rh", "Rh"], "frac_coords": [[0.2500, 0.0000, 0.2441], [0.7500, 0.0000, 0.7559], [0.2500, 0.5000, 0.5835], [0.7500, 0.5000, 0.4165], [0.0000, 0.0000, 0.5000], [0.1091, 0.0000, 0.8886], [0.3909, 0.0000, 0.8886], [0.5000, 0.0000, 0.5000], [0.6091, 0.0000, 0.1114], [0.8909, 0.0000, 0.1114]], "de_polymorph_mev_per_atom": 49.3, "dos_ef_per_ev_cell": 15.2, "rho_g_cm3": 12.172, "total_energy_ev_per_cell": -73.7, "formation_energy_ev_per_atom": 0.44}